Record 1
# PBE ReAgOsC2, relaxed
data_ReAgOsC2
_chemical_formula_sum 'Re1 Ag1 Os1 C2'
_cell_length_a 3.8453
_cell_length_b 3.8453
_cell_length_c 5.3054
_cell_angle_alpha 90.00
_cell_angle_beta 90.00
_cell_angle_gamma 90.00
_symmetry_space_group_name_H-M 'P 4/m m m'
_symmetry_Int_Tables_number 123
_symmetry_space_group_name_Hall '-P 4 2'
loop_
_atom_site_label
_atom_site_type_symbol
_atom_site_fract_x
_atom_site_fract_y
_atom_site_fract_z
_atom_site_occupancy
Re1 Re 0.0000 0.0000 0.0000 1
Ag1 Ag 0.5000 0.5000 0.5000 1
Os1 Os 0.5000 0.5000 0.0000 1
C1 C 0.0000 0.5000 0.5000 1
# Formation energy from the elements, eV/atom: 3.37

Record 2
# PBE Dy5Cu4Ag, relaxed
data_Dy5Cu4Ag
_chemical_formula_sum 'Dy5 Cu4 Ag1'
_cell_length_a 3.4787
_cell_length_b 3.4787
_cell_length_c 17.7375
_cell_angle_alpha 90.00
_cell_angle_beta 90.00
_cell_angle_gamma 90.00
_symmetry_space_group_name_H-M 'P 4/m m m'
_symmetry_Int_Tables_number 123
_symmetry_space_group_name_Hall '-P 4 2'
loop_
_atom_site_label
_atom_site_type_symbol
_atom_site_fract_x
_atom_site_fract_y
_atom_site_fract_z
_atom_site_occupancy
Dy1 Dy 0.0000 0.0000 0.0000 1
Dy2 Dy 0.0000 0.0000 0.1957 1
Dy3 Dy 0.0000 0.0000 0.3913 1
Cu1 Cu 0.5000 0.5000 0.0979 1
Cu2 Cu 0.5000 0.5000 0.2942 1
Ag1 Ag 0.5000 0.5000 0.5000 1
# Formation energy from the elements, eV/atom: -0.27

Record 3
# PBE RbTaHgS4, relaxed
data_RbTaHgS4
_chemical_formula_sum 'Rb2 Ta2 Hg2 S8'
_cell_length_a 6.1163
_cell_length_b 7.6355
_cell_length_c 9.6587
_cell_angle_alpha 90.00
_cell_angle_beta 105.92
_cell_angle_gamma 90.00
_symmetry_space_group_name_H-M 'P 1 21/m 1'
_symmetry_Int_Tables_number 11
_symmetry_space_group_name_Hall '-P 2yb'
loop_
_atom_site_label
_atom_site_type_symbol
_atom_site_fract_x
_atom_site_fract_y
_atom_site_fract_z
_atom_site_occupancy
Rb1 Rb 0.1975 0.2500 0.3881 1
Ta1 Ta 0.3391 0.7500 0.2091 1
Hg1 Hg 0.1964 0.2500 0.8536 1
S1 S 0.0585 0.7500 0.9902 1
S2 S 0.1899 0.7500 0.4007 1
S3 S 0.4391 0.0049 0.7795 1
# ΔE_f (raw), eV per atom: -0.79

Record 4
# PBE NaDyErTl, relaxed
data_NaDyErTl
_chemical_formula_sum 'Na4 Dy4 Er4 Tl4'
_cell_length_a 7.6074
_cell_length_b 7.6074
_cell_length_c 7.6074
_cell_angle_alpha 90.00
_cell_angle_beta 90.00
_cell_angle_gamma 90.00
_symmetry_space_group_name_H-M 'F -4 3 m'
_symmetry_Int_Tables_number 216
_symmetry_space_group_name_Hall 'F -4 2 3'
loop_
_atom_site_label
_atom_site_type_symbol
_atom_site_fract_x
_atom_site_fract_y
_atom_site_fract_z
_atom_site_occupancy
Na1 Na 0.0000 0.0000 0.0000 1
Dy1 Dy 0.2500 0.2500 0.7500 1
Er1 Er 0.2500 0.2500 0.2500 1
Tl1 Tl 0.0000 0.0000 0.5000 1
# Formation energy from the elements, eV/atom: -0.04

Record 5
# PBE ZnFe3C, relaxed
data_ZnFe3C
_chemical_formula_sum 'Zn1 Fe3 C1'
_cell_length_a 4.3769
_cell_length_b 4.3769
_cell_length_c 4.3769
_cell_angle_alpha 90.00
_cell_angle_beta 90.00
_cell_angle_gamma 90.00
_symmetry_space_group_name_H-M 'P m -3 m'
_symmetry_Int_Tables_number 221
_symmetry_space_group_name_Hall '-P 4 2 3'
loop_
_atom_site_label
_atom_site_type_symbol
_atom_site_fract_x
_atom_site_fract_y
_atom_site_fract_z
_atom_site_occupancy
Zn1 Zn 0.0000 0.0000 0.0000 1
Fe1 Fe 0.0000 0.0000 0.5000 1
C1 C 0.5000 0.5000 0.5000 1
# Formation energy from the elements, eV/atom: 2.32
# Offset from the most stable computed form, meV/atom: 2303

Record 6
# PBE BeGaNiRh, relaxed
data_BeGaNiRh
_chemical_formula_sum 'Be1 Ga1 Ni1 Rh1'
_cell_length_a 3.0863
_cell_length_b 3.8171
_cell_length_c 4.0004
_cell_angle_alpha 90.00
_cell_angle_beta 90.00
_cell_angle_gamma 90.00
_symmetry_space_group_name_H-M 'P m m m'
_symmetry_Int_Tables_number 47
_symmetry_space_group_name_Hall '-P 2 2'
loop_
_atom_site_label
_atom_site_type_symbol
_atom_site_fract_x
_atom_site_fract_y
_atom_site_fract_z
_atom_site_occupancy
Be1 Be 0.0000 0.0000 0.0000 1
Ga1 Ga 0.0000 0.5000 0.5000 1
Ni1 Ni 0.5000 0.0000 0.5000 1
Rh1 Rh 0.5000 0.5000 0.0000 1
# Formation energy from the elements, eV/atom: -0.51
# Offset from the most stable computed form, meV/atom: 0

Record 7
# PBE HfHgAu3, relaxed
data_HfHgAu3
_chemical_formula_sum 'Hf1 Hg1 Au3'
_cell_length_a 5.0661
_cell_length_b 5.0661
_cell_length_c 5.0661
_cell_angle_alpha 90.00
_cell_angle_beta 90.00
_cell_angle_gamma 90.00
_symmetry_space_group_name_H-M 'P m -3 m'
_symmetry_Int_Tables_number 221
_symmetry_space_group_name_Hall '-P 4 2 3'
loop_
_atom_site_label
_atom_site_type_symbol
_atom_site_fract_x
_atom_site_fract_y
_atom_site_fract_z
_atom_site_occupancy
Hf1 Hf 0.0000 0.0000 0.0000 1
Hg1 Hg 0.5000 0.5000 0.5000 1
Au1 Au 0.0000 0.5000 0.5000 1
# Formation energy from the elements, eV/atom: 0.95
# Offset from the most stable computed form, meV/atom: 433

Record 8
# PBE VPt, relaxed
data_VPt
_chemical_formula_sum 'V8 Pt8'
_cell_length_a 9.4736
_cell_length_b 4.4002
_cell_length_c 5.5125
_cell_angle_alpha 90.00
_cell_angle_beta 90.00
_cell_angle_gamma 90.00
_symmetry_space_group_name_H-M 'P n m a'
_symmetry_Int_Tables_number 62
_symmetry_space_group_name_Hall '-P 2ac 2n'
loop_
_atom_site_label
_atom_site_type_symbol
_atom_site_fract_x
_atom_site_fract_y
_atom_site_fract_z
_atom_site_occupancy
V1 V 0.0794 0.2500 0.2490 1
V2 V 0.1655 0.7500 0.9907 1
Pt1 Pt 0.0781 0.2500 0.7604 1
Pt2 Pt 0.1689 0.7500 0.4975 1
# Formation energy from the elements, eV/atom: -0.53

Record 9
# PBE AlHgW2, relaxed
data_AlHgW2
_chemical_formula_sum 'Al1 Hg1 W2'
_cell_length_a 2.7833
_cell_length_b 4.3479
_cell_length_c 5.6304
_cell_angle_alpha 90.00
_cell_angle_beta 90.00
_cell_angle_gamma 90.00
_symmetry_space_group_name_H-M 'P m m m'
_symmetry_Int_Tables_number 47
_symmetry_space_group_name_Hall '-P 2 2'
loop_
_atom_site_label
_atom_site_type_symbol
_atom_site_fract_x
_atom_site_fract_y
_atom_site_fract_z
_atom_site_occupancy
Al1 Al 0.0000 0.0000 0.0000 1
Hg1 Hg 0.0000 0.0000 0.5000 1
W1 W 0.5000 0.5000 0.2249 1
# Formation energy from the elements, eV/atom: 0.51
# Offset from the most stable computed form, meV/atom: 168

Record 10
# PBE K5B2Se5, relaxed
data_K5B2Se5
_chemical_formula_sum 'K10 B4 Se10'
_cell_length_a 14.4018
_cell_length_b 4.1974
_cell_length_c 10.8606
_cell_angle_alpha 90.00
_cell_angle_beta 99.09
_cell_angle_gamma 90.00
_symmetry_space_group_name_H-M 'C 1 2/m 1'
_symmetry_Int_Tables_number 12
_symmetry_space_group_name_Hall '-C 2y'
loop_
_atom_site_label
_atom_site_type_symbol
_atom_site_fract_x
_atom_site_fract_y
_atom_site_fract_z
_atom_site_occupancy
K1 K 0.0000 0.0000 0.0000 1
K2 K 0.1512 0.0000 0.5927 1
K3 K 0.2095 0.5000 0.1341 1
B1 B 0.0202 0.5000 0.2991 1
Se1 Se 0.0000 0.5000 0.5000 1
Se2 Se 0.0970 0.0000 0.2883 1
Se3 Se 0.1043 0.5000 0.8241 1
# ΔE_f (raw), eV per atom: -0.49

Record 11
# PBE SrPRu2W, relaxed
data_SrPRu2W
_chemical_formula_sum 'Sr1 P1 Ru2 W1'
_cell_length_a 4.7471
_cell_length_b 4.7471
_cell_length_c 5.0981
_cell_angle_alpha 90.00
_cell_angle_beta 90.00
_cell_angle_gamma 90.00
_symmetry_space_group_name_H-M 'P 4/m m m'
_symmetry_Int_Tables_number 123
_symmetry_space_group_name_Hall '-P 4 2'
loop_
_atom_site_label
_atom_site_type_symbol
_atom_site_fract_x
_atom_site_fract_y
_atom_site_fract_z
_atom_site_occupancy
Sr1 Sr 0.0000 0.0000 0.0000 1
P1 P 0.5000 0.5000 0.5000 1
Ru1 Ru 0.0000 0.5000 0.0000 1
W1 W 0.0000 0.0000 0.5000 1
# Formation energy from the elements, eV/atom: 3.24

Record 12
# PBE ScRu3Pb, relaxed
data_ScRu3Pb
_chemical_formula_sum 'Sc1 Ru3 Pb1'
_cell_length_a 4.9226
_cell_length_b 4.9226
_cell_length_c 4.9226
_cell_angle_alpha 90.00
_cell_angle_beta 90.00
_cell_angle_gamma 90.00
_symmetry_space_group_name_H-M 'P m -3 m'
_symmetry_Int_Tables_number 221
_symmetry_space_group_name_Hall '-P 4 2 3'
loop_
_atom_site_label
_atom_site_type_symbol
_atom_site_fract_x
_atom_site_fract_y
_atom_site_fract_z
_atom_site_occupancy
Sc1 Sc 0.0000 0.0000 0.0000 1
Ru1 Ru 0.0000 0.5000 0.5000 1
Pb1 Pb 0.5000 0.5000 0.5000 1
# Formation energy from the elements, eV/atom: 1.63
# Offset from the most stable computed form, meV/atom: 338

Record 13
# PBE TiBi3P, relaxed
data_TiBi3P
_chemical_formula_sum 'Ti1 Bi3 P1'
_cell_length_a 5.3270
_cell_length_b 5.3270
_cell_length_c 5.3270
_cell_angle_alpha 90.00
_cell_angle_beta 90.00
_cell_angle_gamma 90.00
_symmetry_space_group_name_H-M 'P m -3 m'
_symmetry_Int_Tables_number 221
_symmetry_space_group_name_Hall '-P 4 2 3'
loop_
_atom_site_label
_atom_site_type_symbol
_atom_site_fract_x
_atom_site_fract_y
_atom_site_fract_z
_atom_site_occupancy
Ti1 Ti 0.0000 0.0000 0.0000 1
Bi1 Bi 0.0000 0.5000 0.5000 1
P1 P 0.5000 0.5000 0.5000 1
# Formation energy from the elements, eV/atom: 0.81
# Offset from the most stable computed form, meV/atom: 182

Record 14
# PBE Pr2Nd6Sm, relaxed
data_Pr2Nd6Sm
_chemical_formula_sum 'Pr6 Nd18 Sm3'
_cell_length_a 7.6061
_cell_length_b 7.6061
_cell_length_c 19.7156
_cell_angle_alpha 90.00
_cell_angle_beta 90.00
_cell_angle_gamma 120.00
_symmetry_space_group_name_H-M 'R 3 m'
_symmetry_Int_Tables_number 160
_symmetry_space_group_name_Hall 'R 3 -2"'
loop_
_atom_site_label
_atom_site_type_symbol
_atom_site_fract_x
_atom_site_fract_y
_atom_site_fract_z
_atom_site_occupancy
Pr1 Pr 0.0000 0.0000 0.0000 1
Pr2 Pr 0.0000 0.0000 0.1717 1
Nd1 Nd 0.0189 0.5094 0.1882 1
Nd2 Nd 0.0482 0.5241 0.9931 1
Sm1 Sm 0.0000 0.0000 0.7386 1
# Formation energy from the elements, eV/atom: 0.31
# Offset from the most stable computed form, meV/atom: 145

Record 15
# PBE TmPuCd2, relaxed
data_TmPuCd2
_chemical_formula_sum 'Tm4 Pu4 Cd8'
_cell_length_a 7.4855
_cell_length_b 7.4855
_cell_length_c 7.4855
_cell_angle_alpha 90.00
_cell_angle_beta 90.00
_cell_angle_gamma 90.00
_symmetry_space_group_name_H-M 'F m -3 m'
_symmetry_Int_Tables_number 225
_symmetry_space_group_name_Hall '-F 4 2 3'
loop_
_atom_site_label
_atom_site_type_symbol
_atom_site_fract_x
_atom_site_fract_y
_atom_site_fract_z
_atom_site_occupancy
Tm1 Tm 0.0000 0.0000 0.0000 1
Pu1 Pu 0.0000 0.0000 0.5000 1
Cd1 Cd 0.2500 0.2500 0.2500 1
# Formation energy from the elements, eV/atom: -0.10
# Offset from the most stable computed form, meV/atom: 19

Record 16
# PBE SbAsH, relaxed
data_SbAsH
_chemical_formula_sum 'Sb2 As2 H2'
_cell_length_a 5.2539
_cell_length_b 9.1197
_cell_length_c 14.6874
_cell_angle_alpha 72.44
_cell_angle_beta 79.77
_cell_angle_gamma 73.31
_symmetry_space_group_name_H-M 'P 1'
_symmetry_Int_Tables_number 1
_symmetry_space_group_name_Hall 'P 1'
loop_
_atom_site_label
_atom_site_type_symbol
_atom_site_fract_x
_atom_site_fract_y
_atom_site_fract_z
_atom_site_occupancy
Sb1 Sb 0.0000 0.0000 0.0000 1
Sb2 Sb 0.9997 0.4996 0.5001 1
As1 As 0.3203 0.0459 0.3196 1
As2 As 0.6855 0.9538 0.6806 1
H1 H 0.3309 0.5002 0.8425 1
H2 H 0.6737 0.4977 0.1584 1
# Offset from the most stable computed form, meV/atom: 2578

Record 17
# PBE Pd6PtAu5, relaxed
data_Pd6PtAu5
_chemical_formula_sum 'Pd12 Pt2 Au10'
_cell_length_a 4.0677
_cell_length_b 12.1262
_cell_length_c 8.0034
_cell_angle_alpha 90.00
_cell_angle_beta 90.13
_cell_angle_gamma 90.00
_symmetry_space_group_name_H-M 'C 1 2/m 1'
_symmetry_Int_Tables_number 12
_symmetry_space_group_name_Hall '-C 2y'
loop_
_atom_site_label
_atom_site_type_symbol
_atom_site_fract_x
_atom_site_fract_y
_atom_site_fract_z
_atom_site_occupancy
Pd1 Pd 0.9997 0.0000 0.2453 1
Pd2 Pd 0.0003 0.3346 0.2481 1
Pt1 Pt 0.0000 0.5000 0.0000 1
Au1 Au 0.0000 0.1659 0.0000 1
Au2 Au 0.0000 0.1667 0.5000 1
Au3 Au 0.0000 0.5000 0.5000 1
# Formation energy from the elements, eV/atom: -0.05

Record 18
# PBE HgGe3Br12, relaxed
data_HgGe3Br12
_chemical_formula_sum 'Hg6 Ge18 Br72'
_cell_length_a 13.3935
_cell_length_b 13.3935
_cell_length_c 34.0393
_cell_angle_alpha 90.00
_cell_angle_beta 90.00
_cell_angle_gamma 120.00
_symmetry_space_group_name_H-M 'R 3 c'
_symmetry_Int_Tables_number 161
_symmetry_space_group_name_Hall 'R 3 -2"c'
loop_
_atom_site_label
_atom_site_type_symbol
_atom_site_fract_x
_atom_site_fract_y
_atom_site_fract_z
_atom_site_occupancy
Hg1 Hg 0.0000 0.0000 0.0000 1
Ge1 Ge 0.0226 0.3428 0.3876 1
Br1 Br 0.0611 0.3425 0.9928 1
Br2 Br 0.1415 0.4638 0.0955 1
Br3 Br 0.1711 0.3975 0.7465 1
Br4 Br 0.1986 0.0841 0.7162 1
# ΔE_f (raw), eV per atom: -0.56